No. 1
A plane-wave DFT calculation with PBEsol was carried out for CsSrHfTc2 after structural relaxation.

a = 4.9671 Å, b = 4.9671 Å, c = 5.1693 Å
α = 90.00°, β = 90.00°, γ = 90.00°
Fractional positions:
Cs1 0.0000 0.0000 0.0000
Sr1 0.5000 0.5000 0.5000
Hf1 0.0000 0.0000 0.5000
Tc1 0.0000 0.5000 0.0000
Tc2 0.5000 0.0000 0.0000

Values from the calculation:
Its crystal system is tetragonal. As for the space group: P4/mmm (123). The calculation puts the magnetization at 1.5 μB/f.u. Its energy is -24.31 eV per formula unit. Its formation energy is 2302 meV per atom.

No. 2
A plane-wave DFT calculation with PBEsol was carried out for B3Pb6O10F after structural relaxation.

a = 6.7228 Å, b = 17.0810 Å, c = 11.1933 Å
α = 90.00°, β = 90.00°, γ = 90.00°
Fractional positions:
B1 0.1897 0.2263 0.2500
B2 0.1897 0.2737 0.7500
B3 0.2261 0.0047 0.5044
B4 0.2261 0.0047 0.9956
B5 0.2261 0.4953 0.0044
B6 0.2261 0.4953 0.4956
B7 0.7739 0.5047 0.5044
B8 0.7739 0.5047 0.9956
B9 0.7739 0.9953 0.0044
B10 0.7739 0.9953 0.4956
B11 0.8103 0.7263 0.2500
B12 0.8103 0.7737 0.7500
Pb1 0.0340 0.6562 0.0624
Pb2 0.0340 0.6562 0.4376
Pb3 0.0340 0.8438 0.5624
Pb4 0.0340 0.8438 0.9376
Pb5 0.0822 0.0638 0.7500
Pb6 0.0822 0.4362 0.2500
Pb7 0.4310 0.0309 0.2500
Pb8 0.4310 0.4691 0.7500
Pb9 0.4967 0.1651 0.5903
Pb10 0.4967 0.1651 0.9097
Pb11 0.4967 0.3349 0.0903
Pb12 0.4967 0.3349 0.4097
Pb13 0.5033 0.6651 0.5903
Pb14 0.5033 0.6651 0.9097
Pb15 0.5033 0.8349 0.0903
Pb16 0.5033 0.8349 0.4097
Pb17 0.5690 0.5309 0.2500
Pb18 0.5690 0.9691 0.7500
Pb19 0.9178 0.5638 0.7500
Pb20 0.9178 0.9362 0.2500
Pb21 0.9660 0.1562 0.0624
Pb22 0.9660 0.1562 0.4376
Pb23 0.9660 0.3438 0.5624
Pb24 0.9660 0.3438 0.9376
O1 0.0931 0.1519 0.2500
O2 0.0931 0.3481 0.7500
O3 0.1823 0.5341 0.1107
O4 0.1823 0.5341 0.3893
O5 0.1823 0.9659 0.6107
O6 0.1823 0.9659 0.8893
O7 0.2233 0.2414 0.6400
O8 0.2233 0.2414 0.8600
O9 0.2233 0.2586 0.1400
O10 0.2233 0.2586 0.3600
O11 0.2263 0.0863 0.5068
O12 0.2263 0.0863 0.9932
O13 0.2263 0.4137 0.0068
O14 0.2263 0.4137 0.4932
O15 0.2674 0.5365 0.5980
O16 0.2674 0.5365 0.9020
O17 0.2674 0.9635 0.0980
O18 0.2674 0.9635 0.4020
O19 0.4190 0.0907 0.7500
O20 0.4190 0.4093 0.2500
O21 0.5810 0.5907 0.7500
O22 0.5810 0.9093 0.2500
O23 0.7326 0.0365 0.5980
O24 0.7326 0.0365 0.9020
O25 0.7326 0.4635 0.0980
O26 0.7326 0.4635 0.4020
O27 0.7737 0.5863 0.5068
O28 0.7737 0.5863 0.9932
O29 0.7737 0.9137 0.0068
O30 0.7737 0.9137 0.4932
O31 0.7767 0.7414 0.6400
O32 0.7767 0.7414 0.8600
O33 0.7767 0.7586 0.1400
O34 0.7767 0.7586 0.3600
O35 0.8177 0.0341 0.1107
O36 0.8177 0.0341 0.3893
O37 0.8177 0.4659 0.6107
O38 0.8177 0.4659 0.8893
O39 0.9069 0.6519 0.2500
O40 0.9069 0.8481 0.7500
F1 0.3328 0.7300 0.7500
F2 0.3328 0.7700 0.2500
F3 0.6672 0.2300 0.7500
F4 0.6672 0.2700 0.2500

Values from the calculation:
Its crystal system is orthorhombic. As for the space group: Pbcm (57). The calculation puts the magnetization at 0.0 μB/f.u. Its energy is -134.03 eV per formula unit. The calculation puts the formation energy (no corrections) at -167 kJ/mol of atoms.

No. 3
A plane-wave DFT calculation with PBEsol was carried out for USiPt after structural relaxation.

a = 6.6742 Å, b = 6.6742 Å, c = 3.9426 Å
α = 90.00°, β = 90.00°, γ = 145.02°
Fractional positions:
U1 0.0610 0.9390 0.7500
U2 0.9390 0.0610 0.2500
Si1 0.3802 0.6198 0.7500
Si2 0.6198 0.3802 0.2500
Pt1 0.2658 0.7342 0.2500
Pt2 0.7342 0.2658 0.7500

Values from the calculation:
Its crystal system is orthorhombic. As for the space group: Cmcm (63). The calculation puts the magnetization at 0.0 μB/f.u. Its energy is -26.76 eV per formula unit. The calculation puts the formation energy (no corrections) at -61 kJ/mol of atoms.

No. 4
A plane-wave DFT calculation with PBEsol was carried out for Cd2FeSbMo after structural relaxation.

a = 5.2147 Å, b = 5.2147 Å, c = 5.0750 Å
α = 90.00°, β = 90.00°, γ = 90.00°
Fractional positions:
Cd1 0.0000 0.5000 0.0000
Cd2 0.5000 0.0000 0.0000
Fe1 0.0000 0.0000 0.5000
Sb1 0.5000 0.5000 0.0000
Mo1 0.5000 0.5000 0.5000

Values from the calculation:
Its crystal system is tetragonal. As for the space group: P4/mmm (123). The calculation puts the magnetization at 5.5 μB/f.u. Its energy is -18.63 eV per formula unit. The calculation puts the formation energy (no corrections) at 175 kJ/mol of atoms.